No. 1
# Ni2BiH2 SCAN PBEsol geometry
# calculated volume: 107 Å³ per cell
# crystal system: tetragonal
data_Ni2BiH2
_chemical_formula_sum 'Ni4 Bi2 H4'
_cell_length_a 3.321
_cell_length_b 3.321
_cell_length_c 9.732
_cell_angle_alpha 90.00
_cell_angle_beta 90.00
_cell_angle_gamma 90.00
_space_group_name_H-M_alt 'I 4/m m m'
_space_group_IT_number 139
_space_group_name_Hall '-I 4 2'
loop_
_atom_site_label
_atom_site_type_symbol
_atom_site_fract_x
_atom_site_fract_y
_atom_site_fract_z
_atom_site_occupancy
Ni1 Ni 0.000 0.000 0.198 1
Bi1 Bi 0.000 0.000 0.500 1
H1 H 0.000 0.500 0.250 1

---

No. 2
# BiHRhO2 SCAN PBEsol geometry
# calculated volume: 57 Å³ per cell
# crystal system: tetragonal
data_BiHRhO2
_chemical_formula_sum 'Bi1 H1 Rh1 O2'
_cell_length_a 4.135
_cell_length_b 4.135
_cell_length_c 3.319
_cell_angle_alpha 90.00
_cell_angle_beta 90.00
_cell_angle_gamma 90.00
_space_group_name_H-M_alt 'P 4/m m m'
_space_group_IT_number 123
_space_group_name_Hall '-P 4 2'
loop_
_atom_site_label
_atom_site_type_symbol
_atom_site_fract_x
_atom_site_fract_y
_atom_site_fract_z
_atom_site_occupancy
Bi1 Bi 0.000 0.000 0.000 1
H1 H 0.500 0.500 0.000 1
Rh1 Rh 0.500 0.500 0.500 1
O1 O 0.000 0.500 0.500 1

---

| no. | Fermi-level density of states (states/eV per atom) | total energy (eV per atom) |
| --- | --- | --- |
| 1 | 0.4002 | -23.397 |
| 2 | 0.2958 | -26.037 |